No. 1
This record from Alexandria via LeMat-Bulk describes Li2CoW after structural relaxation. The functional is PBE.

a b c (Å): 4.757 4.757 4.757
angles (deg): 144.89 124.09 67.76
Sites, in units of the cell vectors:
Li: 0.002 0.002 0.000
Li: 0.768 0.268 0.500
Co: 0.244 0.744 0.500
W: 0.487 0.487 0.000

Fermi-level density of states: 0.80 states/eV per atom
theoretical density: 8.4 g/cm³
energy relative to the lowest polymorph listed for this composition: 246 meV/atom
energy of formation from the pure elements: 0.522 eV/atom
space group: Imm2

---

No. 2
This record from Alexandria via LeMat-Bulk describes NdSnAu2 after structural relaxation. The functional is PBE.

a b c (Å): 4.199 4.718 4.718
angles (deg): 90.00 90.00 90.00
Sites, in units of the cell vectors:
Sn: 0.500 0.500 0.500
Au: 0.000 0.500 0.000
Au: 0.000 0.000 0.500
Nd: 0.500 0.000 0.000

Fermi-level density of states: 0.61 states/eV per atom
theoretical density: 11.7 g/cm³
energy of formation from the pure elements: -0.578 eV/atom
space group: P4/mmm